# 1
# PBE Ho2Tl2AsO6, optimized geometry
data_Ho2Tl2AsO6
_cell_length_a 5.776
_cell_length_b 5.776
_cell_length_c 6.817
_cell_angle_alpha 97.31
_cell_angle_beta 97.31
_cell_angle_gamma 119.72
_symmetry_space_group_name_H-M 'P 1'
_symmetry_Int_Tables_number 1
_symmetry_space_group_name_Hall 'P 1'
loop_
_atom_site_label
_atom_site_type_symbol
_atom_site_fract_x
_atom_site_fract_y
_atom_site_fract_z
_atom_site_occupancy
Ho1 Ho 0.334 0.666 0.500 1
Ho2 Ho 0.666 0.334 0.500 1
Tl1 Tl 0.836 0.164 0.000 1
Tl2 Tl 0.164 0.836 0.000 1
As1 As 0.000 0.000 0.500 1
O1 O 0.749 0.749 0.664 1
O2 O 0.047 0.350 0.660 1
O3 O 0.251 0.251 0.336 1
O4 O 0.350 0.047 0.660 1
O5 O 0.953 0.650 0.340 1
O6 O 0.650 0.953 0.340 1
# * space group: C2/m, No. 12
# * N(E_F): 0.447 states/eV/atom
# * calculated total energy: -6.3393 eV per atom


# 2
# PBE HfMgNi2, optimized geometry
data_HfMgNi2
_cell_length_a 5.655
_cell_length_b 5.655
_cell_length_c 5.655
_cell_angle_alpha 60.45
_cell_angle_beta 151.68
_cell_angle_gamma 127.80
_symmetry_space_group_name_H-M 'P 1'
_symmetry_Int_Tables_number 1
_symmetry_space_group_name_Hall 'P 1'
loop_
_atom_site_label
_atom_site_type_symbol
_atom_site_fract_x
_atom_site_fract_y
_atom_site_fract_z
_atom_site_occupancy
Hf1 Hf 0.000 0.500 0.500 1
Mg1 Mg 0.000 0.000 0.000 1
Ni1 Ni 0.000 0.252 0.252 1
Ni2 Ni 0.000 0.748 0.748 1
# * space group: Immm, No. 71
# * calculated formation energy: 0.56 eV/atom
# * N(E_F): 0.880 states/eV/atom
# * calculated total energy: -5.2173 eV per atom


# 3
# PBE MnFeRh3, optimized geometry
data_MnFeRh3
_cell_length_a 4.384
_cell_length_b 4.384
_cell_length_c 4.384
_cell_angle_alpha 90.00
_cell_angle_beta 90.00
_cell_angle_gamma 90.00
_symmetry_space_group_name_H-M 'P 1'
_symmetry_Int_Tables_number 1
_symmetry_space_group_name_Hall 'P 1'
loop_
_atom_site_label
_atom_site_type_symbol
_atom_site_fract_x
_atom_site_fract_y
_atom_site_fract_z
_atom_site_occupancy
Mn1 Mn 0.000 0.000 0.000 1
Rh1 Rh 0.000 0.500 0.000 1
Rh2 Rh 0.000 0.000 0.500 1
Rh3 Rh 0.500 0.000 0.000 1
Fe1 Fe 0.500 0.500 0.500 1
# * space group: Pm-3m, No. 221
# * calculated formation energy: 1.39 eV/atom
# * N(E_F): 2.269 states/eV/atom
# * calculated total energy: -6.5454 eV per atom


# 4
# PBE NaTcGe2, optimized geometry
data_NaTcGe2
_cell_length_a 3.104
_cell_length_b 3.104
_cell_length_c 9.635
_cell_angle_alpha 80.73
_cell_angle_beta 80.73
_cell_angle_gamma 60.00
_symmetry_space_group_name_H-M 'P 1'
_symmetry_Int_Tables_number 1
_symmetry_space_group_name_Hall 'P 1'
loop_
_atom_site_label
_atom_site_type_symbol
_atom_site_fract_x
_atom_site_fract_y
_atom_site_fract_z
_atom_site_occupancy
Na1 Na 0.000 0.000 0.000 1
Ge1 Ge 0.101 0.101 0.696 1
Ge2 Ge 0.899 0.899 0.304 1
Tc1 Tc 0.500 0.500 0.500 1
# * space group: R-3m, No. 166
# * calculated formation energy: 0.07 eV/atom
# * N(E_F): 0.743 states/eV/atom
# * calculated total energy: -5.1635 eV per atom


# 5
# PBE SbTe4Pd10, optimized geometry
data_SbTe4Pd10
_cell_length_a 4.416
_cell_length_b 4.416
_cell_length_c 16.000
_cell_angle_alpha 97.67
_cell_angle_beta 97.67
_cell_angle_gamma 90.18
_symmetry_space_group_name_H-M 'P 1'
_symmetry_Int_Tables_number 1
_symmetry_space_group_name_Hall 'P 1'
loop_
_atom_site_label
_atom_site_type_symbol
_atom_site_fract_x
_atom_site_fract_y
_atom_site_fract_z
_atom_site_occupancy
Sb1 Sb 0.000 0.000 0.000 1
Te1 Te 0.401 0.401 0.802 1
Te2 Te 0.800 0.800 0.601 1
Te3 Te 0.200 0.200 0.399 1
Te4 Te 0.599 0.599 0.198 1
Pd1 Pd 0.651 0.148 0.299 1
Pd2 Pd 0.049 0.548 0.098 1
Pd3 Pd 0.452 0.951 0.902 1
Pd4 Pd 0.852 0.349 0.701 1
Pd5 Pd 0.251 0.749 0.500 1
Pd6 Pd 0.548 0.049 0.098 1
Pd7 Pd 0.951 0.452 0.902 1
Pd8 Pd 0.349 0.852 0.701 1
Pd9 Pd 0.749 0.251 0.500 1
Pd10 Pd 0.148 0.651 0.299 1
# * space group: C2/m, No. 12
# * N(E_F): 0.592 states/eV/atom
# * calculated total energy: -4.8302 eV per atom


# 6
# PBE Mg2ZnRh, optimized geometry
data_Mg2ZnRh
_cell_length_a 4.267
_cell_length_b 3.113
_cell_length_c 5.384
_cell_angle_alpha 73.08
_cell_angle_beta 90.00
_cell_angle_gamma 90.00
_symmetry_space_group_name_H-M 'P 1'
_symmetry_Int_Tables_number 1
_symmetry_space_group_name_Hall 'P 1'
loop_
_atom_site_label
_atom_site_type_symbol
_atom_site_fract_x
_atom_site_fract_y
_atom_site_fract_z
_atom_site_occupancy
Zn1 Zn 0.500 0.560 0.756 1
Rh1 Rh 0.000 0.694 0.487 1
Mg1 Mg 0.000 0.962 0.948 1
Mg2 Mg 0.500 0.284 0.309 1
# * space group: Pm, No. 6
# * calculated formation energy: -0.32 eV/atom
# * N(E_F): 0.439 states/eV/atom
# * calculated total energy: -3.2772 eV per atom


# 7
# PBE Tm3AuSe3, optimized geometry
data_Tm3AuSe3
_cell_length_a 8.458
_cell_length_b 8.458
_cell_length_c 7.477
_cell_angle_alpha 55.56
_cell_angle_beta 55.56
_cell_angle_gamma 60.00
_symmetry_space_group_name_H-M 'P 1'
_symmetry_Int_Tables_number 1
_symmetry_space_group_name_Hall 'P 1'
loop_
_atom_site_label
_atom_site_type_symbol
_atom_site_fract_x
_atom_site_fract_y
_atom_site_fract_z
_atom_site_occupancy
Tm1 Tm 0.287 0.542 0.248 1
Tm2 Tm 0.923 0.287 0.248 1
Tm3 Tm 0.542 0.923 0.248 1
Tm4 Tm 0.458 0.077 0.752 1
Tm5 Tm 0.077 0.713 0.752 1
Tm6 Tm 0.713 0.458 0.752 1
Au1 Au 0.344 0.344 0.969 1
Au2 Au 0.656 0.656 0.031 1
Se1 Se 0.365 0.803 0.739 1
Se2 Se 0.803 0.093 0.739 1
Se3 Se 0.093 0.365 0.739 1
Se4 Se 0.907 0.635 0.261 1
Se5 Se 0.197 0.907 0.261 1
Se6 Se 0.635 0.197 0.261 1
# * space group: R-3, No. 148
# * N(E_F): 0.618 states/eV/atom
# * calculated total energy: -5.2736 eV per atom


# 8
# PBE Pd2SeCl, optimized geometry
data_Pd2SeCl
_cell_length_a 4.583
_cell_length_b 4.583
_cell_length_c 4.583
_cell_angle_alpha 60.00
_cell_angle_beta 60.00
_cell_angle_gamma 60.00
_symmetry_space_group_name_H-M 'P 1'
_symmetry_Int_Tables_number 1
_symmetry_space_group_name_Hall 'P 1'
loop_
_atom_site_label
_atom_site_type_symbol
_atom_site_fract_x
_atom_site_fract_y
_atom_site_fract_z
_atom_site_occupancy
Se1 Se 0.500 0.500 0.500 1
Pd1 Pd 0.250 0.250 0.250 1
Pd2 Pd 0.750 0.750 0.750 1
Cl1 Cl 0.000 0.000 0.000 1
# * space group: Fm-3m, No. 225
# * N(E_F): 1.751 states/eV/atom
# * calculated total energy: -3.8312 eV per atom


# 9
# PBE LaFeAs2, optimized geometry
data_LaFeAs2
_cell_length_a 4.891
_cell_length_b 4.891
_cell_length_c 4.891
_cell_angle_alpha 60.00
_cell_angle_beta 60.00
_cell_angle_gamma 60.00
_symmetry_space_group_name_H-M 'P 1'
_symmetry_Int_Tables_number 1
_symmetry_space_group_name_Hall 'P 1'
loop_
_atom_site_label
_atom_site_type_symbol
_atom_site_fract_x
_atom_site_fract_y
_atom_site_fract_z
_atom_site_occupancy
As1 As 0.250 0.250 0.250 1
As2 As 0.750 0.750 0.750 1
Fe1 Fe 0.000 0.000 0.000 1
La1 La 0.500 0.500 0.500 1
# * space group: Fm-3m, No. 225
# * calculated formation energy: -0.29 eV/atom
# * N(E_F): 1.818 states/eV/atom
# * calculated total energy: -5.9643 eV per atom


# 10
# PBE Mg3In5, optimized geometry
data_Mg3In5
_cell_length_a 8.885
_cell_length_b 8.885
_cell_length_c 5.935
_cell_angle_alpha 90.00
_cell_angle_beta 90.00
_cell_angle_gamma 119.86
_symmetry_space_group_name_H-M 'P 1'
_symmetry_Int_Tables_number 1
_symmetry_space_group_name_Hall 'P 1'
loop_
_atom_site_label
_atom_site_type_symbol
_atom_site_fract_x
_atom_site_fract_y
_atom_site_fract_z
_atom_site_occupancy
In1 In 0.999 0.221 0.250 1
In2 In 0.001 0.779 0.750 1
In3 In 0.221 0.999 0.250 1
In4 In 0.221 0.221 0.750 1
In5 In 0.333 0.667 0.000 1
In6 In 0.333 0.667 0.500 1
In7 In 0.667 0.333 0.000 1
In8 In 0.667 0.333 0.500 1
In9 In 0.779 0.001 0.750 1
In10 In 0.779 0.779 0.250 1
Mg1 Mg 0.000 0.409 0.750 1
Mg2 Mg 0.000 0.591 0.250 1
Mg3 Mg 0.409 0.000 0.750 1
Mg4 Mg 0.408 0.408 0.250 1
Mg5 Mg 0.591 0.000 0.250 1
Mg6 Mg 0.592 0.592 0.750 1
# * space group: Cmcm, No. 63
# * calculated formation energy: -0.01 eV/atom
# * N(E_F): 0.408 states/eV/atom
# * calculated total energy: -2.3171 eV per atom